No. 1
CuNiS2 after structural relaxation, computed with GGA-PBE.

```
CuNiS2
1.0
6.645 0.000 0.000
0.000 3.596 0.000
0.000 0.000 10.305
S Cu Ni
8 4 4
Direct
0.664 0.750 0.014 S
0.036 0.750 0.185 S
0.964 0.250 0.815 S
0.464 0.250 0.685 S
0.164 0.750 0.486 S
0.836 0.250 0.514 S
0.536 0.750 0.315 S
0.336 0.250 0.986 S
0.877 0.250 0.088 Cu
0.123 0.750 0.912 Cu
0.377 0.250 0.412 Cu
0.623 0.750 0.588 Cu
0.132 0.250 0.622 Ni
0.368 0.750 0.122 Ni
0.868 0.750 0.378 Ni
0.632 0.250 0.878 Ni
```

Summary:
Calculated volume ... 15.39 A^3/atom
Calculated total energy ... -4.67 eV/atom
Formation energy without anion corrections ... -0.1411 eV/atom

---

No. 2
CuNiS after structural relaxation, computed with GGA-PBE.

```
CuNiS
1.0
-0.436 -1.377 -4.017
-0.853 -3.186 1.185
-10.072 3.681 2.650
Ni S Cu
4 4 4
Direct
0.830 0.500 0.458 Ni
0.830 0.000 0.958 Ni
0.293 0.500 0.651 Ni
0.293 0.000 0.151 Ni
0.463 0.500 0.284 S
0.146 0.500 0.004 S
0.146 0.000 0.504 S
0.463 0.000 0.784 S
0.899 0.500 0.790 Cu
0.737 0.500 0.118 Cu
0.737 0.000 0.618 Cu
0.899 0.000 0.290 Cu
```

Summary:
Excess energy over the best structure of this formula in the dataset ... 0.061 eV/atom
Calculated volume ... 13.37 A^3/atom
Calculated total energy ... -4.76 eV/atom
Formation energy without anion corrections ... -0.0899 eV/atom

---

No. 3
CuNiS2 after structural relaxation, computed with GGA-PBE.

```
CuNiS2
1.0
-2.746 12.019 2.594
-4.818 -0.372 4.810
2.069 -2.581 5.962
S Ni Cu
16 8 8
Direct
0.260 0.263 0.254 S
0.021 0.678 0.198 S
0.250 0.247 0.747 S
0.250 0.771 0.271 S
0.521 0.302 0.822 S
0.518 0.797 0.854 S
0.018 0.646 0.703 S
0.240 0.754 0.763 S
0.982 0.354 0.297 S
0.740 0.737 0.746 S
0.979 0.322 0.802 S
0.482 0.203 0.146 S
0.479 0.698 0.178 S
0.750 0.753 0.253 S
0.760 0.246 0.237 S
0.750 0.229 0.729 S
0.349 0.027 0.142 Ni
0.151 0.642 0.527 Ni
0.863 0.335 0.003 Ni
0.137 0.665 0.997 Ni
0.363 0.497 0.165 Ni
0.637 0.503 0.835 Ni
0.651 0.973 0.858 Ni
0.849 0.358 0.473 Ni
0.901 0.919 0.760 Cu
0.891 0.907 0.297 Cu
0.609 0.797 0.407 Cu
0.099 0.081 0.240 Cu
0.401 0.740 0.581 Cu
0.391 0.203 0.593 Cu
0.599 0.260 0.419 Cu
0.109 0.093 0.703 Cu
```

Summary:
Calculated volume ... 14.72 A^3/atom
Calculated total energy ... -4.67 eV/atom
Formation energy without anion corrections ... -0.1354 eV/atom

---

No. 4
CuNiS after structural relaxation, computed with GGA-PBE.

```
CuNiS
1.0
-0.831 -4.293 -2.692
1.665 -2.950 4.191
-5.466 1.360 3.129
S Ni Cu
4 4 4
Direct
0.676 0.241 0.774 S
0.324 0.241 0.226 S
0.676 0.741 0.274 S
0.324 0.741 0.726 S
0.724 0.111 0.447 Ni
0.276 0.611 0.053 Ni
0.724 0.611 0.947 Ni
0.276 0.111 0.553 Ni
0.007 0.963 0.812 Cu
0.993 0.963 0.188 Cu
0.993 0.463 0.688 Cu
0.007 0.463 0.312 Cu
```

Summary:
Excess energy over the best structure of this formula in the dataset ... 0.000 eV/atom
Calculated volume ... 14.20 A^3/atom
Calculated total energy ... -4.82 eV/atom
Formation energy without anion corrections ... -0.1508 eV/atom

---

No. 5
CuNiS2 after structural relaxation, computed with GGA-PBE.

```
CuNiS2
1.0
3.396 -0.033 -0.006
-1.640 6.997 0.007
0.019 0.431 5.441
Cu S Ni
2 4 2
Direct
0.248 0.839 0.031 Cu
0.368 0.074 0.632 Cu
0.102 0.549 0.875 S
0.226 0.793 0.443 S
0.863 0.066 0.931 S
0.504 0.352 0.394 S
0.982 0.308 0.159 Ni
0.637 0.617 0.619 Ni
```

Summary:
Calculated volume ... 16.12 A^3/atom
Calculated total energy ... -4.80 eV/atom
Formation energy without anion corrections ... -0.2659 eV/atom

---

No. 6
CuNiS2 after structural relaxation, computed with GGA-PBE.

```
CuNiS2
1.0
0.000 2.988 2.988
2.988 0.000 2.988
2.988 2.988 0.000
S Ni Cu
2 1 1
Direct
0.250 0.250 0.250 S
0.750 0.750 0.750 S
0.000 0.000 0.000 Ni
0.500 0.500 0.500 Cu
```

Summary:
Calculated volume ... 13.34 A^3/atom
Calculated total energy ... -4.23 eV/atom
Formation energy without anion corrections ... 0.3068 eV/atom

---

> The highest calculated volume belongs to which entry?

number 5

---

What did the fifth record say?
CuNiS2 after structural relaxation, computed with GGA-PBE.

```
CuNiS2
1.0
3.396 -0.033 -0.006
-1.640 6.997 0.007
0.019 0.431 5.441
Cu S Ni
2 4 2
Direct
0.248 0.839 0.031 Cu
0.368 0.074 0.632 Cu
0.102 0.549 0.875 S
0.226 0.793 0.443 S
0.863 0.066 0.931 S
0.504 0.352 0.394 S
0.982 0.308 0.159 Ni
0.637 0.617 0.619 Ni
```

Summary:
Calculated volume ... 16.12 A^3/atom
Calculated total energy ... -4.80 eV/atom
Formation energy without anion corrections ... -0.2659 eV/atom

---

What did the third record say?
CuNiS2 after structural relaxation, computed with GGA-PBE.

```
CuNiS2
1.0
-2.746 12.019 2.594
-4.818 -0.372 4.810
2.069 -2.581 5.962
S Ni Cu
16 8 8
Direct
0.260 0.263 0.254 S
0.021 0.678 0.198 S
0.250 0.247 0.747 S
0.250 0.771 0.271 S
0.521 0.302 0.822 S
0.518 0.797 0.854 S
0.018 0.646 0.703 S
0.240 0.754 0.763 S
0.982 0.354 0.297 S
0.740 0.737 0.746 S
0.979 0.322 0.802 S
0.482 0.203 0.146 S
0.479 0.698 0.178 S
0.750 0.753 0.253 S
0.760 0.246 0.237 S
0.750 0.229 0.729 S
0.349 0.027 0.142 Ni
0.151 0.642 0.527 Ni
0.863 0.335 0.003 Ni
0.137 0.665 0.997 Ni
0.363 0.497 0.165 Ni
0.637 0.503 0.835 Ni
0.651 0.973 0.858 Ni
0.849 0.358 0.473 Ni
0.901 0.919 0.760 Cu
0.891 0.907 0.297 Cu
0.609 0.797 0.407 Cu
0.099 0.081 0.240 Cu
0.401 0.740 0.581 Cu
0.391 0.203 0.593 Cu
0.599 0.260 0.419 Cu
0.109 0.093 0.703 Cu
```

Summary:
Calculated volume ... 14.72 A^3/atom
Calculated total energy ... -4.67 eV/atom
Formation energy without anion corrections ... -0.1354 eV/atom

---

> Number 6 is which compound?

CuNiS2